1.
Density functional theory data (meta-GGA SCAN) for a PBEsol-optimized structure of InRuSeI2.

Structure (POSCAR):
```
InRuSeI2
1.0
5.577 0.000 0.000
0.000 5.577 0.000
0.000 0.000 4.578
In Ru Se I
1 1 1 2
direct
0.000 0.000 0.000 In
0.500 0.500 0.500 Ru
0.500 0.500 0.000 Se
0.000 0.500 0.500 I
0.500 0.000 0.500 I
```

Properties
Symmetry: P4/mmm
ΔE_f (raw): 4 kJ/mol of atoms
Density: 6.400 g/cm3
Fermi-level density of states: 0.390 states/eV per atom
Energy: -161.55 eV per cell

2.
Density functional theory data (meta-GGA SCAN) for a PBEsol-optimized structure of Te2O5.

Structure (POSCAR):
```
Te2O5
1.0
5.461 0.000 0.000
0.000 4.710 0.000
-1.815 0.000 7.758
Te O
4 10
direct
0.133 0.000 0.375 Te
0.258 0.410 0.011 Te
0.742 0.910 0.989 Te
0.867 0.500 0.625 Te
0.033 0.673 0.102 O
0.129 0.347 0.496 O
0.169 0.610 0.793 O
0.333 0.223 0.225 O
0.470 0.172 0.903 O
0.530 0.672 0.097 O
0.667 0.723 0.775 O
0.831 0.110 0.207 O
0.871 0.847 0.504 O
0.967 0.173 0.898 O
```

Properties
Symmetry: P2_1
ΔE_f (raw): -99 kJ/mol of atoms
Density: 5.579 g/cm3
Fermi-level density of states: 0.000 states/eV per atom
Energy: -225.67 eV per cell

3.
Density functional theory data (meta-GGA SCAN) for a PBEsol-optimized structure of ZnCdGeC2.

Structure (POSCAR):
```
ZnCdGeC2
1.0
4.189 0.000 0.000
0.000 4.189 0.000
0.000 0.000 5.058
Zn Cd Ge C
1 1 1 2
direct
0.000 0.000 0.000 Zn
0.000 0.000 0.500 Cd
0.500 0.500 0.000 Ge
0.000 0.500 0.500 C
0.500 0.000 0.500 C
```

Properties
Symmetry: P4/mmm
Density: 5.135 g/cm3
Fermi-level density of states: 0.528 states/eV per atom
Energy of formation: 2.529 eV/atom
Energy: -70.57 eV per cell